(1)
A geometry-optimized Na3HfPt structure. Source: the Alexandria database, functional PBE.

The total moment comes out at 3.00 μB per cell. For the energy of formation, the calculation gives 1.77 eV per atom. The value obtained for the energy is -2.22 eV per atom.

The space group is Pm-3m (No. 221) and the conventional cell measures 5.8546, 5.8546 and 5.8546 Å, with angles of 90.00, 90.00 and 90.00 degrees. Symmetry generates all atoms from Na at (0.0000, 0.0000, 0.5000), Hf at (0.0000, 0.0000, 0.0000) and Pt at (0.5000, 0.5000, 0.5000).


(2)
A geometry-optimized NaHf2Pt structure. Source: the Alexandria database, functional PBE.

The total moment comes out at 0.00 μB per cell. For the energy of formation, the calculation gives -0.07 eV per atom. The value obtained for the energy is -6.88 eV per atom.

The space group is Fm-3m (No. 225) and the conventional cell measures 6.7585, 6.7585 and 6.7585 Å, with angles of 90.00, 90.00 and 90.00 degrees. Symmetry generates all atoms from Na at (0.0000, 0.0000, 0.0000), Hf at (0.2500, 0.2500, 0.2500) and Pt at (0.0000, 0.0000, 0.5000).


(3)
A geometry-optimized Na3HfPt structure. Source: the Alexandria database, functional PBE.

The total moment comes out at 2.45 μB per cell. For the energy of formation, the calculation gives 0.96 eV per atom. The value obtained for the energy is -3.03 eV per atom.

The space group is Pm-3m (No. 221) and the conventional cell measures 5.3280, 5.3280 and 5.3280 Å, with angles of 90.00, 90.00 and 90.00 degrees. Symmetry generates all atoms from Na at (0.0000, 0.0000, 0.5000), Hf at (0.5000, 0.5000, 0.5000) and Pt at (0.0000, 0.0000, 0.0000).


(4)
A geometry-optimized NaHfRePt2 structure. Source: the Alexandria database, functional PBE.

The total moment comes out at 1.25 μB per cell. For the energy of formation, the calculation gives 1.37 eV per atom. The value obtained for the energy is -5.79 eV per atom.

The space group is P4/mmm (No. 123) and the conventional cell measures 4.4765, 4.4765 and 4.5955 Å, with angles of 90.00, 90.00 and 90.00 degrees. Symmetry generates all atoms from Na at (0.0000, 0.0000, 0.0000), Hf at (0.5000, 0.5000, 0.5000), Re at (0.0000, 0.0000, 0.5000) and Pt at (0.0000, 0.5000, 0.0000).


(5)
A geometry-optimized NaHf2PtS structure. Source: the Alexandria database, functional PBE.

The total moment comes out at 0.00 μB per cell. The energy relative to the elements, uncorrected comes out at -0.079 eV/atom. The value obtained for the energy is -6.36 eV per atom.

The space group is P4/mmm (No. 123) and the conventional cell measures 4.7809, 4.7809 and 4.6358 Å, with angles of 90.00, 90.00 and 90.00 degrees. Symmetry generates all atoms from Na at (0.0000, 0.0000, 0.0000), Hf at (0.0000, 0.5000, 0.5000), Pt at (0.5000, 0.5000, 0.0000) and S at (0.5000, 0.5000, 0.5000).


(6)
A geometry-optimized NaHfPt2Se structure. Source: the Alexandria database, functional PBE.

The total moment comes out at 0.00 μB per cell. The energy relative to the elements, uncorrected comes out at 0.217 eV/atom. The value obtained for the energy is -5.15 eV per atom.

The space group is P4/mmm (No. 123) and the conventional cell measures 4.8203, 4.8203 and 4.8731 Å, with angles of 90.00, 90.00 and 90.00 degrees. Symmetry generates all atoms from Na at (0.0000, 0.0000, 0.0000), Hf at (0.5000, 0.5000, 0.0000), Pt at (0.0000, 0.5000, 0.5000) and Se at (0.5000, 0.5000, 0.5000).


(7)
A geometry-optimized NaHfTa2Pt structure. Source: the Alexandria database, functional PBE.

The total moment comes out at 0.00 μB per cell. For the energy of formation, the calculation gives 0.94 eV per atom. The value obtained for the energy is -7.26 eV per atom.

The space group is P4/mmm (No. 123) and the conventional cell measures 4.9816, 4.9816 and 5.1049 Å, with angles of 90.00, 90.00 and 90.00 degrees. Symmetry generates all atoms from Na at (0.0000, 0.0000, 0.0000), Hf at (0.5000, 0.5000, 0.0000), Ta at (0.0000, 0.5000, 0.5000) and Pt at (0.5000, 0.5000, 0.5000).


(8)
A geometry-optimized NaHf2TcPt structure. Source: the Alexandria database, functional PBE.

The total moment comes out at 1.47 μB per cell. For the energy of formation, the calculation gives 0.88 eV per atom. The value obtained for the energy is -6.65 eV per atom.

The space group is P4/mmm (No. 123) and the conventional cell measures 5.0213, 5.0213 and 4.8436 Å, with angles of 90.00, 90.00 and 90.00 degrees. Symmetry generates all atoms from Na at (0.0000, 0.0000, 0.0000), Hf at (0.0000, 0.5000, 0.5000), Tc at (0.5000, 0.5000, 0.0000) and Pt at (0.0000, 0.0000, 0.5000).


(9)
A geometry-optimized NaHfTePt2 structure. Source: the Alexandria database, functional PBE.

The total moment comes out at 0.70 μB per cell. The energy relative to the elements, uncorrected comes out at 0.754 eV/atom. The value obtained for the energy is -4.55 eV per atom.

The space group is P4/mmm (No. 123) and the conventional cell measures 5.0058, 5.0058 and 4.9787 Å, with angles of 90.00, 90.00 and 90.00 degrees. Symmetry generates all atoms from Na at (0.0000, 0.0000, 0.0000), Hf at (0.5000, 0.5000, 0.0000), Te at (0.0000, 0.0000, 0.5000) and Pt at (0.0000, 0.5000, 0.5000).


(10)
A geometry-optimized Na3Pu3HfS8 structure. Source: the Alexandria database, functional PBE.

The total moment comes out at 45.00 μB per cell. The energy relative to the elements, uncorrected comes out at -1.560 eV/atom. The value obtained for the energy is -7.55 eV per atom.

The space group is R-3m (No. 166, hexagonal axes) and the conventional cell measures 7.9394, 7.9394 and 20.0531 Å, with angles of 90.00, 90.00 and 120.00 degrees. Symmetry generates all atoms from Na at (0.0000, 0.5000, 0.0000), Pu at (0.0000, 0.5000, 0.5000), Hf at (0.0000, 0.0000, 0.5000), S at (0.0000, 0.0000, 0.2420) and S at (0.0213, 0.5107, 0.2384).


(11)
A geometry-optimized Na4PuHf3S8 structure. Source: the Alexandria database, functional PBE.

The total moment comes out at 17.01 μB per cell. The energy relative to the elements, uncorrected comes out at -1.475 eV/atom. The value obtained for the energy is -6.63 eV per atom.

The space group is R-3m (No. 166, hexagonal axes) and the conventional cell measures 7.4920, 7.4920 and 20.3186 Å, with angles of 90.00, 90.00 and 120.00 degrees. Symmetry generates all atoms from Na at (0.0000, 0.0000, 0.0000), Na at (0.0000, 0.5000, 0.0000), Pu at (0.0000, 0.0000, 0.5000), Hf at (0.0000, 0.5000, 0.5000), S at (0.0000, 0.0000, 0.2394) and S at (0.0169, 0.5084, 0.7585).


(12)
A geometry-optimized Na2PuHf2S6 structure. Source: the Alexandria database, functional PBE.

The total moment comes out at 12.02 μB per cell. The energy relative to the elements, uncorrected comes out at -1.539 eV/atom. The value obtained for the energy is -7.14 eV per atom.

The space group is C2/m (No. 12) and the conventional cell measures 6.5404, 11.4617 and 7.1220 Å, with angles of 90.00, 107.61 and 90.00 degrees. Symmetry generates all atoms from Na at (0.0000, 0.1627, 0.0000), Pu at (0.0000, 0.0000, 0.5000), Hf at (0.0000, 0.3339, 0.5000), S at (0.2147, 0.5000, 0.7177) and S at (0.2467, 0.1788, 0.7162).


(13)
A geometry-optimized Na2PuHfS4 structure. Source: the Alexandria database, functional PBE.

The total moment comes out at 5.79 μB per cell. The energy relative to the elements, uncorrected comes out at -1.502 eV/atom. The value obtained for the energy is -6.93 eV per atom.

The space group is P2/m (No. 10) and the conventional cell measures 6.7229, 3.8424 and 7.0602 Å, with angles of 90.00, 108.30 and 90.00 degrees. Symmetry generates all atoms from Na at (0.0000, 0.0000, 0.0000), Na at (0.5000, 0.5000, 0.0000), Pu at (0.0000, 0.5000, 0.5000), Hf at (0.5000, 0.0000, 0.5000), S at (0.2632, 0.0000, 0.7265) and S at (0.2769, 0.5000, 0.2795).


(14)
A geometry-optimized Na4PuHf3Se8 structure. Source: the Alexandria database, functional PBE.

The total moment comes out at 17.50 μB per cell. The energy relative to the elements, uncorrected comes out at -1.284 eV/atom. The value obtained for the energy is -6.12 eV per atom.

The space group is R-3m (No. 166, hexagonal axes) and the conventional cell measures 7.8235, 7.8235 and 21.3675 Å, with angles of 90.00, 90.00 and 120.00 degrees. Symmetry generates all atoms from Na at (0.0000, 0.0000, 0.0000), Na at (0.0000, 0.5000, 0.0000), Pu at (0.0000, 0.0000, 0.5000), Hf at (0.0000, 0.5000, 0.5000), Se at (0.0000, 0.0000, 0.2400) and Se at (0.0167, 0.5084, 0.7576).


(15)
A geometry-optimized Na3PuHf2Se6 structure. Source: the Alexandria database, functional PBE.

The total moment comes out at 13.26 μB per cell. The energy relative to the elements, uncorrected comes out at -1.304 eV/atom. The value obtained for the energy is -6.23 eV per atom.

The space group is C2/m (No. 12) and the conventional cell measures 6.8653, 11.9087 and 7.4441 Å, with angles of 90.00, 108.10 and 90.00 degrees. Symmetry generates all atoms from Na at (0.0000, 0.0000, 0.0000), Na at (0.0000, 0.3397, 0.0000), Pu at (0.0000, 0.5000, 0.5000), Hf at (0.0000, 0.1679, 0.5000), Se at (0.2203, 0.0000, 0.7247) and Se at (0.2467, 0.1774, 0.2741).


(16)
A geometry-optimized Na2PuHfSe4 structure. Source: the Alexandria database, functional PBE.

The total moment comes out at 5.80 μB per cell. The energy relative to the elements, uncorrected comes out at -1.330 eV/atom. The value obtained for the energy is -6.44 eV per atom.

The space group is P2/m (No. 10) and the conventional cell measures 7.0207, 4.0107 and 7.3992 Å, with angles of 90.00, 108.05 and 90.00 degrees. Symmetry generates all atoms from Na at (0.0000, 0.0000, 0.0000), Na at (0.5000, 0.5000, 0.0000), Pu at (0.0000, 0.5000, 0.5000), Hf at (0.5000, 0.0000, 0.5000), Se at (0.2636, 0.0000, 0.7301) and Se at (0.2765, 0.5000, 0.2771).


(17)
A geometry-optimized Na2PuHf2Te6 structure. Source: the Alexandria database, functional PBE.

The total moment comes out at 12.05 μB per cell. The energy relative to the elements, uncorrected comes out at -0.903 eV/atom. The value obtained for the energy is -5.97 eV per atom.

The space group is C2/m (No. 12) and the conventional cell measures 7.2749, 12.7168 and 8.0413 Å, with angles of 90.00, 107.01 and 90.00 degrees. Symmetry generates all atoms from Na at (0.0000, 0.1577, 0.0000), Pu at (0.0000, 0.0000, 0.5000), Hf at (0.0000, 0.3323, 0.5000), Te at (0.2130, 0.5000, 0.7241) and Te at (0.2500, 0.1769, 0.7254).


(18)
A geometry-optimized Na4Pu3HfTe8 structure. Source: the Alexandria database, functional PBE.

The total moment comes out at 48.00 μB per cell. The energy relative to the elements, uncorrected comes out at -0.992 eV/atom. The value obtained for the energy is -6.20 eV per atom.

The space group is R-3m (No. 166, hexagonal axes) and the conventional cell measures 8.8374, 8.8374 and 22.5775 Å, with angles of 90.00, 90.00 and 120.00 degrees. Symmetry generates all atoms from Na at (0.0000, 0.0000, 0.0000), Na at (0.0000, 0.5000, 0.0000), Pu at (0.0000, 0.5000, 0.5000), Hf at (0.0000, 0.0000, 0.5000), Te at (0.0000, 0.0000, 0.2460) and Te at (0.0195, 0.5098, 0.2427).


(19)
A geometry-optimized RbNa3Hf structure. Source: the Alexandria database, functional PBE.

The total moment comes out at 3.96 μB per cell. For the energy of formation, the calculation gives 1.03 eV per atom. The value obtained for the energy is -1.94 eV per atom.

The space group is Pm-3m (No. 221) and the conventional cell measures 6.3939, 6.3939 and 6.3939 Å, with angles of 90.00, 90.00 and 90.00 degrees. Symmetry generates all atoms from Rb at (0.0000, 0.0000, 0.0000), Na at (0.0000, 0.5000, 0.5000) and Hf at (0.5000, 0.5000, 0.5000).


(20)
A geometry-optimized RbNa2Hf structure. Source: the Alexandria database, functional PBE.

The total moment comes out at 8.71 μB per cell. For the energy of formation, the calculation gives 1.15 eV per atom. The value obtained for the energy is -2.24 eV per atom.

The space group is I-42d (No. 122) and the conventional cell measures 9.2604, 9.2604 and 7.4108 Å, with angles of 90.00, 90.00 and 90.00 degrees. Symmetry generates all atoms from Rb at (0.0000, 0.0000, 0.0000), Na at (0.2373, 0.7500, 0.6250) and Hf at (0.0000, 0.0000, 0.5000).